Record 1
LaBiPd: relaxed, GGA-PBE.

It has space group P-62m (No. 189), with a = 7.8403 Å, b = 7.8403 Å, c = 4.4040 Å, α = 90.00°, β = 90.00° and γ = 120.00°. The inequivalent atoms are La at (0.0000, 0.6086, 0.0000), Bi at (0.0000, 0.2709, 0.5000), Pd at (0.0000, 0.0000, 0.0000) and Pd at (0.3333, 0.6667, 0.5000).

The value obtained for the uncorrected energy is -5.578 eV per atom. The density is 9.7 g cm⁻³.

Record 2
LaBiPd: relaxed, GGA-PBE.

It has space group P-62m (No. 189), with a = 8.6479 Å, b = 8.6479 Å, c = 3.8927 Å, α = 90.00°, β = 90.00° and γ = 120.00°. The inequivalent atoms are La at (0.0000, 0.2880, 0.0000), Bi at (0.0000, 0.0000, 0.5000), Bi at (0.3333, 0.6667, 0.0000) and Pd at (0.0000, 0.6636, 0.5000).

The value obtained for the uncorrected energy is -5.179 eV per atom. The density is 9.0 g cm⁻³.

Record 3
LaPrBi4Pd2: relaxed, GGA-PBE.

It has space group P4mm (No. 99), with a = 4.683 Å, b = 4.683 Å, c = 9.861 Å, α = 90.00°, β = 90.00° and γ = 90.00°. The inequivalent atoms are La at (0.000, 0.000, 0.000), Pr at (0.500, 0.500, 0.533), Bi at (0.000, 0.000, 0.604), Bi at (0.000, 0.500, 0.268), Bi at (0.500, 0.500, 0.926) and Pd at (0.000, 0.500, 0.765).

The value obtained for the uncorrected energy is -5.242 eV per atom. The density is 10.2 g cm⁻³.

Record 4
LaBiSbPd2: relaxed, GGA-PBE.

It has space group P4/nmm (No. 129, origin choice 2), with a = 4.683 Å, b = 4.683 Å, c = 10.961 Å, α = 90.00°, β = 90.00° and γ = 90.00°. The inequivalent atoms are La at (0.250, 0.250, 0.227), Bi at (0.250, 0.750, 0.500), Sb at (0.250, 0.250, 0.877), Pd at (0.250, 0.250, 0.643) and Pd at (0.250, 0.750, 0.000).

The value obtained for the uncorrected energy is -5.498 eV per atom. The density is 9.4 g cm⁻³.

Record 5
LaSnBiPd2: relaxed, GGA-PBE.

It has space group P4/nmm (No. 129, origin choice 2), with a = 4.647 Å, b = 4.647 Å, c = 10.986 Å, α = 90.00°, β = 90.00° and γ = 90.00°. The inequivalent atoms are La at (0.250, 0.250, 0.245), Sn at (0.250, 0.750, 0.500), Bi at (0.250, 0.250, 0.865), Pd at (0.250, 0.250, 0.622) and Pd at (0.250, 0.750, 0.000).

The value obtained for the uncorrected energy is -5.417 eV per atom. The density is 9.5 g cm⁻³.

Record 6
LaPmBi: relaxed, GGA-PBE.

It has space group F-43m (No. 216), with a = 7.583 Å, b = 7.583 Å, c = 7.583 Å, α = 90.00°, β = 90.00° and γ = 90.00°. The inequivalent atoms are La at (0.000, 0.000, 0.000), Pm at (0.000, 0.000, 0.500) and Bi at (0.250, 0.250, 0.250).

As for the energy above the most stable polymorph in this dataset: 0.000 kcal/mol of atoms. The value obtained for the uncorrected energy is -5.049 eV per atom. The density is 7.5 g cm⁻³.

Record 7
LaPrBi: relaxed, GGA-PBE.

It has space group F-43m (No. 216), with a = 7.636 Å, b = 7.636 Å, c = 7.636 Å, α = 90.00°, β = 90.00° and γ = 90.00°. The inequivalent atoms are La at (0.000, 0.000, 0.000), Pr at (0.000, 0.000, 0.500) and Bi at (0.250, 0.250, 0.250).

The value obtained for the uncorrected energy is -5.083 eV per atom. The density is 7.3 g cm⁻³.

Record 8
La5PrBi6: relaxed, GGA-PBE.

It has space group C2/m (No. 12), with a = 8.112 Å, b = 14.047 Å, c = 8.110 Å, α = 90.00°, β = 109.47° and γ = 90.00°. The inequivalent atoms are La at (0.000, 0.000, 0.000), La at (0.000, 0.167, 0.500), La at (0.000, 0.333, 0.000), Pr at (0.000, 0.500, 0.500), Bi at (0.249, 0.334, 0.749) and Bi at (0.249, 0.500, 0.251).

The value obtained for the uncorrected energy is -5.526 eV per atom. The density is 8.0 g cm⁻³.

Record 9
LaPrBi2S2: relaxed, GGA-PBE.

It has space group P4mm (No. 99), with a = 4.300 Å, b = 4.300 Å, c = 9.068 Å, α = 90.00°, β = 90.00° and γ = 90.00°. The inequivalent atoms are La at (0.000, 0.000, 0.000), Pr at (0.500, 0.500, 0.370), Bi at (0.000, 0.500, 0.682), S at (0.000, 0.000, 0.313) and S at (0.500, 0.500, 0.055).

The value obtained for the uncorrected energy is -5.745 eV per atom. The density is 7.5 g cm⁻³.

Record 10
LaBiPt: relaxed, GGA-PBE.

It has space group P-62m (No. 189), with a = 7.8610 Å, b = 7.8610 Å, c = 4.3906 Å, α = 90.00°, β = 90.00° and γ = 120.00°. The inequivalent atoms are La at (0.0000, 0.6055, 0.0000), Bi at (0.0000, 0.2672, 0.5000), Pt at (0.0000, 0.0000, 0.0000) and Pt at (0.3333, 0.6667, 0.5000).

The value obtained for the uncorrected energy is -5.935 eV per atom. The density is 11.5 g cm⁻³.

Record 11
LaBiPt: relaxed, GGA-PBE.

It has space group P-62m (No. 189), with a = 8.6569 Å, b = 8.6569 Å, c = 3.7907 Å, α = 90.00°, β = 90.00° and γ = 120.00°. The inequivalent atoms are La at (0.0000, 0.2913, 0.0000), Bi at (0.0000, 0.0000, 0.5000), Bi at (0.3333, 0.6667, 0.0000) and Pt at (0.0000, 0.6713, 0.5000).

The value obtained for the uncorrected energy is -5.434 eV per atom. The density is 11.0 g cm⁻³.

Record 12
LaReBi: relaxed, GGA-PBE.

It has space group F-43m (No. 216), with a = 6.867 Å, b = 6.867 Å, c = 6.867 Å, α = 90.00°, β = 90.00° and γ = 90.00°. The inequivalent atoms are La at (0.000, 0.000, 0.000), Re at (0.250, 0.250, 0.750) and Bi at (0.000, 0.000, 0.500).

As for the energy above the most stable polymorph in this dataset: 0.000 kcal/mol of atoms. The value obtained for the uncorrected energy is -6.744 eV per atom. The density is 11.0 g cm⁻³.

Record 13
LaReBi: relaxed, GGA-PBE.

It has space group F-43m (No. 216), with a = 7.195 Å, b = 7.195 Å, c = 7.195 Å, α = 90.00°, β = 90.00° and γ = 90.00°. The inequivalent atoms are La at (0.000, 0.000, 0.000), Re at (0.250, 0.250, 0.250) and Bi at (0.250, 0.250, 0.750).

As for the energy above the most stable polymorph in this dataset: 20.535 kcal/mol of atoms. The value obtained for the uncorrected energy is -5.853 eV per atom. The density is 9.5 g cm⁻³.

Record 14
LaSm2Bi3: relaxed, GGA-PBE.

It has space group P-3m1 (No. 164), with a = 4.5841 Å, b = 4.5841 Å, c = 11.2568 Å, α = 90.00°, β = 90.00° and γ = 120.00°. The inequivalent atoms are La at (0.0000, 0.0000, 0.0000), Sm at (0.3333, 0.6667, 0.3368), Bi at (0.0000, 0.0000, 0.5000) and Bi at (0.3333, 0.6667, 0.8268).

The value obtained for the uncorrected energy is -5.399 eV per atom. The density is 8.6 g cm⁻³.

Record 15
LaSmBi4: relaxed, GGA-PBE.

It has space group Amm2 (No. 38), with a = 4.665 Å, b = 4.657 Å, c = 17.332 Å, α = 90.00°, β = 90.00° and γ = 90.00°. The inequivalent atoms are La at (0.000, 0.000, 0.000), Sm at (0.500, 0.000, 0.203), Bi at (0.000, 0.000, 0.350), Bi at (0.000, 0.000, 0.672), Bi at (0.500, 0.000, 0.531) and Bi at (0.500, 0.000, 0.849).

The value obtained for the uncorrected energy is -4.980 eV per atom. The density is 9.9 g cm⁻³.

Record 16
LaSmBi: relaxed, GGA-PBE.

It has space group F-43m (No. 216), with a = 7.566 Å, b = 7.566 Å, c = 7.566 Å, α = 90.00°, β = 90.00° and γ = 90.00°. The inequivalent atoms are La at (0.000, 0.000, 0.000), Sm at (0.000, 0.000, 0.500) and Bi at (0.250, 0.250, 0.250).

The value obtained for the uncorrected energy is -5.024 eV per atom. The density is 7.6 g cm⁻³.

Record 17
La2SmBi3: relaxed, GGA-PBE.

It has space group P-3m1 (No. 164), with a = 4.6350 Å, b = 4.6350 Å, c = 11.3589 Å, α = 90.00°, β = 90.00° and γ = 120.00°. The inequivalent atoms are La at (0.3333, 0.6667, 0.3303), Sm at (0.0000, 0.0000, 0.0000), Bi at (0.0000, 0.0000, 0.5000) and Bi at (0.3333, 0.6667, 0.8394).

The value obtained for the uncorrected energy is -5.475 eV per atom. The density is 8.3 g cm⁻³.

Record 18
La2TbBi3: relaxed, GGA-PBE.

It has space group P-3m1 (No. 164), with a = 4.6060 Å, b = 4.6060 Å, c = 11.3246 Å, α = 90.00°, β = 90.00° and γ = 120.00°. The inequivalent atoms are La at (0.3333, 0.6667, 0.3280), Tb at (0.0000, 0.0000, 0.0000), Bi at (0.0000, 0.0000, 0.5000) and Bi at (0.3333, 0.6667, 0.8433).

The value obtained for the uncorrected energy is -5.443 eV per atom. The density is 8.5 g cm⁻³.

Record 19
LaTbBi2Te2: relaxed, GGA-PBE.

It has space group P4mm (No. 99), with a = 4.454 Å, b = 4.454 Å, c = 9.520 Å, α = 90.00°, β = 90.00° and γ = 90.00°. The inequivalent atoms are La at (0.000, 0.000, 0.000), Tb at (0.500, 0.500, 0.429), Bi at (0.000, 0.500, 0.708), Te at (0.000, 0.000, 0.348) and Te at (0.500, 0.500, 0.093).

The value obtained for the uncorrected energy is -5.094 eV per atom. The density is 8.5 g cm⁻³.

Record 20
LaTcBi: relaxed, GGA-PBE.

It has space group F-43m (No. 216), with a = 7.218 Å, b = 7.218 Å, c = 7.218 Å, α = 90.00°, β = 90.00° and γ = 90.00°. The inequivalent atoms are La at (0.000, 0.000, 0.000), Tc at (0.250, 0.250, 0.250) and Bi at (0.250, 0.250, 0.750).

As for the energy above the most stable polymorph in this dataset: 20.825 kcal/mol of atoms. The value obtained for the uncorrected energy is -5.511 eV per atom. The density is 7.9 g cm⁻³.